Density functional theory data (PBE) for a relaxed structure of TmGeBiO5.

Summary:
Total energy   -0.5039 Ry per atom
Volume   234.09 Å³ per cell
Fermi-level density of states   0.0 states/eV per cell
Symmetry   No. 15
Uncorrected formation energy   -17.09 eV per formula unit

Cell and atoms, written as CIF:
```
data_TmGeBiO5
_chemical_formula_sum 'Tm2 Ge2 Bi2 O10'
_cell_length_a 5.903
_cell_length_b 5.903
_cell_length_c 7.616
_cell_angle_alpha 102.43
_cell_angle_beta 102.43
_cell_angle_gamma 108.45
_space_group_name_H-M_alt 'P 1'
_space_group_IT_number 1
_space_group_name_Hall 'P 1'
loop_
_atom_site_label
_atom_site_type_symbol
_atom_site_fract_x
_atom_site_fract_y
_atom_site_fract_z
Tm1 Tm 0.000 0.000 0.000
Tm2 Tm 0.000 0.000 0.500
Ge1 Ge 0.324 0.676 0.750
Ge2 Ge 0.676 0.324 0.250
Bi1 Bi 0.322 0.678 0.250
Bi2 Bi 0.678 0.322 0.750
O1 O 0.086 0.664 0.867
O2 O 0.103 0.897 0.250
O3 O 0.261 0.398 0.572
O4 O 0.336 0.914 0.633
O5 O 0.398 0.261 0.072
O6 O 0.602 0.739 0.928
O7 O 0.664 0.086 0.367
O8 O 0.739 0.602 0.428
O9 O 0.897 0.103 0.750
O10 O 0.914 0.336 0.133
```